# 1
# La2CeCrN4, relaxed, DFT PBE
# uncorrected energy	-267.616	eV per cell
# ΔE_f (raw)	-1.02	eV per atom
# Fermi-level density of states	26.69	states/eV per cell
# crystal system	orthorhombic
data_La2CeCrN4
_chemical_formula_sum 'La8 Ce4 Cr4 N16'
_cell_length_a 3.4833
_cell_length_b 11.8077
_cell_length_c 12.5235
_cell_angle_alpha 90.00
_cell_angle_beta 90.00
_cell_angle_gamma 90.00
_symmetry_space_group_name_H-M 'C m c m'
_symmetry_Int_Tables_number 63
_symmetry_space_group_name_Hall '-C 2c 2'
loop_
_atom_site_label
_atom_site_fract_x
_atom_site_fract_y
_atom_site_fract_z
_atom_site_occupancy
La1 0.0000 0.1340 0.0436 1
Ce1 0.0000 0.3968 0.2500 1
Cr1 0.0000 0.3307 0.7500 1
N1 0.0000 0.0843 0.2500 1
N2 0.0000 0.2207 0.6434 1
N3 0.0000 0.5000 0.0000 1

=====

# 2
# Ir5C, relaxed, DFT PBE
# uncorrected energy	-47.542	eV per cell
# Fermi-level density of states	5.87	states/eV per cell
# crystal system	hexagonal
# energy relative to the elements	0.998	eV/atom
# polymorph energy (0 for the lowest one)	583	meV per atom
data_Ir5C
_chemical_formula_sum 'Ir5 C1'
_cell_length_a 4.7315
_cell_length_b 4.7315
_cell_length_c 4.2854
_cell_angle_alpha 90.00
_cell_angle_beta 90.00
_cell_angle_gamma 120.00
_symmetry_space_group_name_H-M 'P -6 2 m'
_symmetry_Int_Tables_number 189
_symmetry_space_group_name_Hall 'P -6 -2'
loop_
_atom_site_label
_atom_site_fract_x
_atom_site_fract_y
_atom_site_fract_z
_atom_site_occupancy
Ir1 0.0000 0.6707 0.0000 1
Ir2 0.3333 0.6667 0.5000 1
C1 0.0000 0.0000 0.5000 1

=====

# 3
# TcNi2, relaxed, DFT PBE
# uncorrected energy	-85.908	eV per cell
# Fermi-level density of states	15.11	states/eV per cell
# crystal system	tetragonal
# energy relative to the elements	0.151	eV/atom
# polymorph energy (0 for the lowest one)	188	meV per atom
data_TcNi2
_chemical_formula_sum 'Tc4 Ni8'
_cell_length_a 2.5802
_cell_length_b 2.5802
_cell_length_c 22.8822
_cell_angle_alpha 90.00
_cell_angle_beta 90.00
_cell_angle_gamma 90.00
_symmetry_space_group_name_H-M 'I 41/a m d'
_symmetry_Int_Tables_number 141
loop_
_symmetry_equiv_pos_as_xyz
'x,y,z'
'-x,-y,-z'
'-y+1/4,x+3/4,z+1/4'
'y+1/4,-x+3/4,-z+1/4'
'-x+1/2,-y,z+1/2'
'x+1/2,y,-z+1/2'
'y+1/4,-x+1/4,z+3/4'
'-y+1/4,x+1/4,-z+3/4'
'x,-y,-z'
'-x,y,z'
'-y+1/4,-x+1/4,-z+3/4'
'y+1/4,x+1/4,z+3/4'
'-x+1/2,y,-z+1/2'
'x+1/2,-y,z+1/2'
'y+1/4,x+3/4,-z+1/4'
'-y+1/4,-x+3/4,z+1/4'
'x+1/2,y+1/2,z+1/2'
'-x+1/2,-y+1/2,-z+1/2'
'-y+3/4,x+1/4,z+3/4'
'y+3/4,-x+1/4,-z+3/4'
'-x,-y+1/2,z'
'x,y+1/2,-z'
'y+3/4,-x+3/4,z+1/4'
'-y+3/4,x+3/4,-z+1/4'
'x+1/2,-y+1/2,-z+1/2'
'-x+1/2,y+1/2,z+1/2'
'-y+3/4,-x+3/4,-z+1/4'
'y+3/4,x+3/4,z+1/4'
'-x,y+1/2,-z'
'x,-y+1/2,z'
'y+3/4,x+1/4,-z+3/4'
'-y+3/4,-x+1/4,z+3/4'
loop_
_atom_site_label
_atom_site_fract_x
_atom_site_fract_y
_atom_site_fract_z
_atom_site_occupancy
Tc1 0.0000 0.2500 0.3750 1
Ni1 0.0000 0.2500 0.7956 1

=====

# 4
# Sc2TlFe, relaxed, DFT PBE
# uncorrected energy	-23.529	eV per cell
# Fermi-level density of states	5.16	states/eV per cell
# crystal system	monoclinic
# energy relative to the elements	-0.009	eV/atom
data_Sc2TlFe
_chemical_formula_sum 'Sc2 Tl1 Fe1'
_cell_length_a 3.3237
_cell_length_b 4.5031
_cell_length_c 5.7456
_cell_angle_alpha 90.00
_cell_angle_beta 106.74
_cell_angle_gamma 90.00
_symmetry_space_group_name_H-M 'P 1 m 1'
_symmetry_Int_Tables_number 6
loop_
_symmetry_equiv_pos_as_xyz
'x,y,z'
'x,-y,z'
loop_
_atom_site_label
_atom_site_fract_x
_atom_site_fract_y
_atom_site_fract_z
_atom_site_occupancy
Sc1 0.0000 0.0000 0.0000 1
Sc2 0.3202 0.5000 0.6422 1
Tl1 0.5954 0.5000 0.1913 1
Fe1 0.7491 0.0000 0.4998 1

=====

# 5
# CsMg3Sb2, relaxed, DFT PBE
# uncorrected energy	-63.642	eV per cell
# ΔE_f (raw)	-0.34	eV per atom
# Fermi-level density of states	8.63	states/eV per cell
# crystal system	monoclinic
data_CsMg3Sb2
_chemical_formula_sum 'Cs4 Mg12 Sb8'
_cell_length_a 18.9257
_cell_length_b 4.7163
_cell_length_c 11.2927
_cell_angle_alpha 90.00
_cell_angle_beta 121.64
_cell_angle_gamma 90.00
_symmetry_space_group_name_H-M 'C 1 2/m 1'
_symmetry_Int_Tables_number 12
loop_
_symmetry_equiv_pos_as_xyz
'x,y,z'
'-x,-y,-z'
'-x,y,-z'
'x,-y,z'
'x+1/2,y+1/2,z'
'-x+1/2,-y+1/2,-z'
'-x+1/2,y+1/2,-z'
'x+1/2,-y+1/2,z'
loop_
_atom_site_label
_atom_site_fract_x
_atom_site_fract_y
_atom_site_fract_z
_atom_site_occupancy
Cs1 0.1359 0.0000 0.0900 1
Mg1 0.0294 0.0000 0.3742 1
Mg2 0.0988 0.5000 0.7119 1
Mg3 0.1854 0.5000 0.4879 1
Sb1 0.0264 0.5000 0.2270 1
Sb2 0.1604 0.0000 0.6662 1

=====

# 6
# AcTb2DyEr5, relaxed, DFT PBE
# uncorrected energy	-153.125	eV per cell
# Fermi-level density of states	42.56	states/eV per cell
# crystal system	tetragonal
# energy relative to the elements	0.278	eV/atom
data_AcTb2DyEr5
_chemical_formula_sum 'Ac4 Tb8 Dy4 Er20'
_cell_length_a 8.9075
_cell_length_b 8.9075
_cell_length_c 14.9937
_cell_angle_alpha 90.00
_cell_angle_beta 90.00
_cell_angle_gamma 90.00
_symmetry_space_group_name_H-M 'I 4/m c m'
_symmetry_Int_Tables_number 140
_symmetry_space_group_name_Hall '-I 4 2c'
loop_
_atom_site_label
_atom_site_fract_x
_atom_site_fract_y
_atom_site_fract_z
_atom_site_occupancy
Ac1 0.0000 0.0000 0.2500 1
Tb1 0.1136 0.3864 0.0000 1
Dy1 0.0000 0.5000 0.2500 1
Er1 0.0000 0.0000 0.0000 1
Er2 0.2041 0.2959 0.3716 1

=====

# 7
# Ti2BePd, relaxed, DFT PBE
# uncorrected energy	-95.884	eV per cell
# Fermi-level density of states	17.01	states/eV per cell
# crystal system	tetragonal
# energy relative to the elements	0.184	eV/atom
data_Ti2BePd
_chemical_formula_sum 'Ti8 Be4 Pd4'
_cell_length_a 3.5747
_cell_length_b 3.5747
_cell_length_c 18.8575
_cell_angle_alpha 90.00
_cell_angle_beta 90.00
_cell_angle_gamma 90.00
_symmetry_space_group_name_H-M 'I -4 2 d'
_symmetry_Int_Tables_number 122
_symmetry_space_group_name_Hall 'I -4 2bw'
loop_
_atom_site_label
_atom_site_fract_x
_atom_site_fract_y
_atom_site_fract_z
_atom_site_occupancy
Ti1 0.2447 0.2500 0.1250 1
Be1 0.0000 0.0000 0.0000 1
Pd1 0.0000 0.0000 0.5000 1

=====

# 8
# ZrMnAl2, relaxed, DFT PBE
# uncorrected energy	-25.933	eV per cell
# Fermi-level density of states	4.09	states/eV per cell
# crystal system	tetragonal
# energy relative to the elements	-0.183	eV/atom
data_ZrMnAl2
_chemical_formula_sum 'Zr1 Mn1 Al2'
_cell_length_a 3.1074
_cell_length_b 3.1074
_cell_length_c 6.6750
_cell_angle_alpha 90.00
_cell_angle_beta 90.00
_cell_angle_gamma 90.00
_symmetry_space_group_name_H-M 'P 4 m m'
_symmetry_Int_Tables_number 99
loop_
_symmetry_equiv_pos_as_xyz
'x,y,z'
'-y,x,z'
'-x,-y,z'
'y,-x,z'
'-x,y,z'
'y,x,z'
'x,-y,z'
'-y,-x,z'
loop_
_atom_site_label
_atom_site_fract_x
_atom_site_fract_y
_atom_site_fract_z
_atom_site_occupancy
Zr1 0.0000 0.0000 0.0000 1
Mn1 0.5000 0.5000 0.7402 1
Al1 0.0000 0.0000 0.5581 1
Al2 0.5000 0.5000 0.3071 1

=====

# 9
# CoPbAu2, relaxed, DFT PBE
# uncorrected energy	-16.133	eV per cell
# Fermi-level density of states	4.99	states/eV per cell
# crystal system	monoclinic
# energy relative to the elements	0.309	eV/atom
data_CoPbAu2
_chemical_formula_sum 'Co1 Pb1 Au2'
_cell_length_a 3.5114
_cell_length_b 4.3979
_cell_length_c 5.3852
_cell_angle_alpha 90.00
_cell_angle_beta 108.81
_cell_angle_gamma 90.00
_symmetry_space_group_name_H-M 'P 1 2/m 1'
_symmetry_Int_Tables_number 10
loop_
_symmetry_equiv_pos_as_xyz
'x,y,z'
'-x,-y,-z'
'-x,y,-z'
'x,-y,z'
loop_
_atom_site_label
_atom_site_fract_x
_atom_site_fract_y
_atom_site_fract_z
_atom_site_occupancy
Co1 0.0000 0.0000 0.0000 1
Pb1 0.0000 0.0000 0.5000 1
Au1 0.3725 0.5000 0.2189 1

=====

# 10
# Hf3Te4Se2, relaxed, DFT PBE
# uncorrected energy	-56.937	eV per cell
# ΔE_f (raw)	-0.84	eV per atom
# Fermi-level density of states	1.93	states/eV per cell
# crystal system	trigonal
data_Hf3Te4Se2
_chemical_formula_sum 'Hf3 Te4 Se2'
_cell_length_a 3.8195
_cell_length_b 3.8195
_cell_length_c 22.7747
_cell_angle_alpha 90.00
_cell_angle_beta 90.00
_cell_angle_gamma 120.00
_symmetry_space_group_name_H-M 'P 3 m 1'
_symmetry_Int_Tables_number 156
loop_
_symmetry_equiv_pos_as_xyz
'x,y,z'
'-y,x-y,z'
'-x+y,-x,z'
'-y,-x,z'
'-x+y,y,z'
'x,x-y,z'
loop_
_atom_site_label
_atom_site_fract_x
_atom_site_fract_y
_atom_site_fract_z
_atom_site_occupancy
Hf1 0.0000 0.0000 0.0000 1
Hf2 0.0000 0.0000 0.3471 1
Hf3 0.6667 0.3333 0.6812 1
Te1 0.0000 0.0000 0.5987 1
Te2 0.0000 0.0000 0.7636 1
Te3 0.6667 0.3333 0.2647 1
Te4 0.6667 0.3333 0.4297 1
Se1 0.6667 0.3333 0.0723 1
Se2 0.6667 0.3333 0.9276 1

=====

# 11
# Cu2HIr, relaxed, DFT PBE
# uncorrected energy	-67.820	eV per cell
# Fermi-level density of states	0.18	states/eV per cell
# crystal system	cubic
# polymorph energy (0 for the lowest one)	446	meV per atom
data_Cu2HIr
_chemical_formula_sum 'Cu8 H4 Ir4'
_cell_length_a 5.7574
_cell_length_b 5.7574
_cell_length_c 5.7574
_cell_angle_alpha 90.00
_cell_angle_beta 90.00
_cell_angle_gamma 90.00
_symmetry_space_group_name_H-M 'F m -3 m'
_symmetry_Int_Tables_number 225
_symmetry_space_group_name_Hall '-F 4 2 3'
loop_
_atom_site_label
_atom_site_fract_x
_atom_site_fract_y
_atom_site_fract_z
_atom_site_occupancy
Cu1 0.2500 0.2500 0.2500 1
H1 0.0000 0.0000 0.0000 1
Ir1 0.0000 0.0000 0.5000 1

=====

# 12
# Pd4Pb2Au, relaxed, DFT PBE
# uncorrected energy	-64.189	eV per cell
# Fermi-level density of states	6.32	states/eV per cell
# crystal system	tetragonal
# energy relative to the elements	-0.090	eV/atom
# polymorph energy (0 for the lowest one)	106	meV per atom
data_Pd4Pb2Au
_chemical_formula_sum 'Pd8 Pb4 Au2'
_cell_length_a 3.9632
_cell_length_b 3.9632
_cell_length_c 18.4129
_cell_angle_alpha 90.00
_cell_angle_beta 90.00
_cell_angle_gamma 90.00
_symmetry_space_group_name_H-M 'I 4/m m m'
_symmetry_Int_Tables_number 139
_symmetry_space_group_name_Hall '-I 4 2'
loop_
_atom_site_label
_atom_site_fract_x
_atom_site_fract_y
_atom_site_fract_z
_atom_site_occupancy
Pd1 0.0000 0.0000 0.1450 1
Pd2 0.0000 0.5000 0.2500 1
Pb1 0.0000 0.0000 0.3862 1
Au1 0.0000 0.0000 0.0000 1

=====

Copy entry 6 word for word.
# AcTb2DyEr5, relaxed, DFT PBE
# uncorrected energy	-153.125	eV per cell
# Fermi-level density of states	42.56	states/eV per cell
# crystal system	tetragonal
# energy relative to the elements	0.278	eV/atom
data_AcTb2DyEr5
_chemical_formula_sum 'Ac4 Tb8 Dy4 Er20'
_cell_length_a 8.9075
_cell_length_b 8.9075
_cell_length_c 14.9937
_cell_angle_alpha 90.00
_cell_angle_beta 90.00
_cell_angle_gamma 90.00
_symmetry_space_group_name_H-M 'I 4/m c m'
_symmetry_Int_Tables_number 140
_symmetry_space_group_name_Hall '-I 4 2c'
loop_
_atom_site_label
_atom_site_fract_x
_atom_site_fract_y
_atom_site_fract_z
_atom_site_occupancy
Ac1 0.0000 0.0000 0.2500 1
Tb1 0.1136 0.3864 0.0000 1
Dy1 0.0000 0.5000 0.2500 1
Er1 0.0000 0.0000 0.0000 1
Er2 0.2041 0.2959 0.3716 1